Record 1
The following is a DFT calculation (PBE-GGA) of crystalline TlGa4Te at its relaxed geometry.

Geometry as POSCAR:
```
TlGa4Te
1.0
5.845 0.000 0.000
2.923 5.062 0.000
2.923 1.687 4.773
Ga Tl Te
4 1 1
Direct
0.625 0.625 0.126
0.625 0.625 0.625
0.625 0.126 0.625
0.126 0.625 0.625
0.250 0.250 0.250
0.000 0.000 0.000
```

Values from the calculation:
As for the space-group type: F-43m. The total magnetization is 0.000 μB per atom. The value obtained for the mass density is 7.2 Mg/m³. For the volume, the calculation gives 23.54 Å³ per atom. As for the density of states at the Fermi level: 4.2 states/eV/cell. The raw formation energy comes out at 0.05 eV/atom.

=====

Record 2
The following is a DFT calculation (PBE-GGA) of crystalline Mg2Cd3 at its relaxed geometry.

Geometry as POSCAR:
```
Mg2Cd3
1.0
10.871 -5.745 1.603
10.088 1.487 1.460
0.735 -6.441 3.303
Mg Cd
4 6
Direct
0.804 0.267 0.537
0.983 0.446 0.858
0.392 0.537 0.267
0.713 0.858 0.446
0.100 0.900 0.900
0.342 0.950 0.845
0.300 0.908 0.387
0.350 0.150 0.150
0.863 0.845 0.950
0.405 0.387 0.908
```

Values from the calculation:
As for the space-group type: Fdd2. The total magnetization is 0.000 μB per atom. The value obtained for the mass density is 5.5 Mg/m³. For the volume, the calculation gives 23.50 Å³ per atom. As for the density of states at the Fermi level: 3.8 states/eV/cell. The formation energy is -0.0008 eV/atom. The value obtained for the polymorph energy (0 for the lowest one) is 46 meV per atom.

=====

Record 3
The following is a DFT calculation (PBE-GGA) of crystalline CuAsBrCl6 at its relaxed geometry.

Geometry as POSCAR:
```
CuAsBrCl6
1.0
7.266 0.010 2.132
3.637 6.215 1.015
2.281 -0.175 7.848
Cl As Cu Br
6 1 1 1
Direct
0.509 0.519 0.206
0.369 0.919 0.773
0.033 0.410 0.389
0.999 0.790 0.605
0.651 0.923 0.309
0.501 0.422 0.652
0.270 0.458 0.496
0.646 0.659 0.531
0.022 0.899 0.039
```

Values from the calculation:
As for the space-group type: P1. The total magnetization is 0.109 μB per atom. The value obtained for the mass density is 2.2 Mg/m³. For the volume, the calculation gives 35.99 Å³ per atom. As for the density of states at the Fermi level: 1.8 states/eV/cell. The raw formation energy comes out at -0.45 eV/atom.

=====

Record 4
The following is a DFT calculation (PBE-GGA) of crystalline CaSiO2 at its relaxed geometry.

Geometry as POSCAR:
```
CaSiO2
1.0
1.785 0.000 6.372
-0.893 1.546 6.372
-0.893 -1.546 6.372
Si O Ca
1 2 1
Direct
0.500 0.500 0.500
0.878 0.878 0.878
0.122 0.122 0.122
0.000 0.000 0.000
```

Values from the calculation:
As for the space-group type: R-3m. The total magnetization is 0.000 μB per atom. The value obtained for the mass density is 3.2 Mg/m³. For the volume, the calculation gives 13.19 Å³ per atom. As for the density of states at the Fermi level: 1.1 states/eV/cell. The raw formation energy comes out at -1.26 eV/atom.

=====

Record 5
The following is a DFT calculation (PBE-GGA) of crystalline Fe2AgHg at its relaxed geometry.

Geometry as POSCAR:
```
Fe2AgHg
1.0
-0.077 -2.022 -3.996
3.239 -2.888 -1.111
-0.902 -4.379 -0.277
Ag Fe Hg
1 2 1
Direct
0.500 0.500 0.500
0.000 0.000 0.000
0.250 0.250 0.250
0.750 0.750 0.750
```

Values from the calculation:
As for the space-group type: F-43m. The total magnetization is 1.327 μB per atom. The value obtained for the mass density is 11.0 Mg/m³. For the volume, the calculation gives 15.89 Å³ per atom. As for the density of states at the Fermi level: 2.9 states/eV/cell. The formation energy is 0.4636 eV/atom.

=====

Record 6
The following is a DFT calculation (PBE-GGA) of crystalline K2CdHg at its relaxed geometry.

Geometry as POSCAR:
```
K2CdHg
1.0
4.726 -0.008 -0.007
2.347 6.270 0.155
2.349 2.354 5.813
Hg K Cd
1 2 1
Direct
0.750 0.941 0.559
0.053 0.878 0.017
0.447 0.483 0.622
0.250 0.197 0.303
```

Values from the calculation:
As for the space-group type: C2. The total magnetization is 0.000 μB per atom. The value obtained for the mass density is 3.8 Mg/m³. For the volume, the calculation gives 42.68 Å³ per atom. As for the density of states at the Fermi level: 2.1 states/eV/cell. The formation energy is -0.1248 eV/atom.

=====

Record 7
The following is a DFT calculation (PBE-GGA) of crystalline Ag8Hg2Pd3 at its relaxed geometry.

Geometry as POSCAR:
```
Ag8Hg2Pd3
1.0
-2.058 4.231 -2.601
-4.389 -0.592 -3.047
-8.033 3.311 6.186
Hg Ag Pd
2 8 3
Direct
0.362 0.362 0.914
0.638 0.638 0.086
0.727 0.727 0.820
0.276 0.776 0.672
0.273 0.273 0.180
0.224 0.724 0.328
0.776 0.276 0.672
0.724 0.724 0.328
0.276 0.276 0.672
0.724 0.224 0.328
0.185 0.185 0.445
0.815 0.815 0.555
0.000 0.000 0.000
```

Values from the calculation:
As for the space-group type: R-3m. The total magnetization is 0.000 μB per atom. The value obtained for the mass density is 10.3 Mg/m³. For the volume, the calculation gives 19.65 Å³ per atom. As for the density of states at the Fermi level: 3.9 states/eV/cell. The formation energy is 0.1771 eV/atom.

=====

Record 8
The following is a DFT calculation (PBE-GGA) of crystalline ThGeHOs at its relaxed geometry.

Geometry as POSCAR:
```
ThGeHOs
1.0
4.282 0.000 0.000
0.000 4.282 0.000
0.000 0.000 7.185
Th Ge Os H
2 2 2 2
Direct
0.500 0.000 0.679
0.000 0.500 0.321
0.000 0.500 0.814
0.500 0.000 0.186
0.000 0.000 0.000
0.500 0.500 0.000
0.000 0.000 0.500
0.500 0.500 0.500
```

Values from the calculation:
As for the space-group type: P4/nmm. The calculation puts the uncorrected energy at -0.265 Ha/atom. The total magnetization is 0.000 μB per atom. The value obtained for the mass density is 12.5 Mg/m³. For the volume, the calculation gives 16.47 Å³ per atom. As for the density of states at the Fermi level: 4.3 states/eV/cell.

=====

Record 9
The following is a DFT calculation (PBE-GGA) of crystalline LaCu3H at its relaxed geometry.

Geometry as POSCAR:
```
LaCu3H
1.0
5.671 0.000 0.000
0.000 5.671 0.000
0.000 0.000 5.671
Cu H La
3 1 1
Direct
0.500 0.000 0.000
0.000 0.000 0.500
0.000 0.500 0.000
0.500 0.500 0.500
0.000 0.000 0.000
```

Values from the calculation:
As for the space-group type: Pm-3m. The total magnetization is 0.200 μB per atom. The value obtained for the mass density is 3.0 Mg/m³. For the volume, the calculation gives 36.47 Å³ per atom. As for the density of states at the Fermi level: 0.0 states/eV/cell. The value obtained for the polymorph energy (0 for the lowest one) is 1208 meV per atom.

=====

Record 10
The following is a DFT calculation (PBE-GGA) of crystalline KAsO2 at its relaxed geometry.

Geometry as POSCAR:
```
KAsO2
1.0
-3.708 -2.407 -2.852
0.385 -4.852 3.594
-7.843 9.543 2.144
As K O
4 4 8
Direct
0.774 0.874 0.930
0.226 0.874 0.430
0.774 0.126 0.570
0.226 0.126 0.070
0.251 0.622 0.638
0.749 0.622 0.138
0.251 0.378 0.862
0.749 0.378 0.362
0.122 0.105 0.604
0.247 0.573 0.412
0.878 0.895 0.396
0.753 0.427 0.588
0.753 0.573 0.912
0.878 0.105 0.104
0.122 0.895 0.896
0.247 0.427 0.088
```

Values from the calculation:
As for the space-group type: P2/c. The total magnetization is 0.000 μB per atom. The value obtained for the mass density is 2.9 Mg/m³. For the volume, the calculation gives 20.85 Å³ per atom. As for the density of states at the Fermi level: 0.0 states/eV/cell. The raw formation energy comes out at -1.50 eV/atom.

=====

Record 11
The following is a DFT calculation (PBE-GGA) of crystalline TbPm6Dy2Sc at its relaxed geometry.

Geometry as POSCAR:
```
TbPm6Dy2Sc
1.0
8.971 -1.953 -2.027
0.884 8.632 -2.036
0.884 -2.355 8.551
Pm Sc Tb Dy
12 2 2 4
Direct
0.387 0.512 0.289
0.948 0.876 0.233
0.887 0.289 0.512
0.113 0.711 0.488
0.805 0.439 0.006
0.552 0.767 0.124
0.448 0.233 0.876
0.195 0.561 0.994
0.052 0.124 0.767
0.305 0.006 0.439
0.613 0.488 0.711
0.695 0.994 0.561
0.750 0.580 0.420
0.250 0.420 0.580
0.750 0.026 0.974
0.250 0.974 0.026
0.952 0.694 0.795
0.548 0.205 0.306
0.452 0.795 0.694
0.048 0.306 0.205
```

Values from the calculation:
As for the space-group type: C2/c. The total magnetization is 0.000 μB per atom. The value obtained for the mass density is 7.1 Mg/m³. For the volume, the calculation gives 32.85 Å³ per atom. As for the density of states at the Fermi level: 27.7 states/eV/cell. The formation energy is 0.1268 eV/atom.